# 1
Compound: Tc2MoAu
Source: Alexandria
Functional: SCAN
Structure: single point on PBEsol structure

Values from the calculation:
Symmetry   I4/mmm (139)
Offset from the most stable computed form   68.7 meV per atom
ΔE_f   0.16 eV per atom
Crystal system   tetragonal
Calculated density   13.70 Mg/m³
Spin magnetization   0.000 μB/atom

a = 4.735 Å, b = 4.735 Å, c = 4.735 Å
α = 130.94°, β = 130.94°, γ = 71.91°
Positions (direct):
Tc 0.250 0.750 0.500
Tc 0.750 0.250 0.500
Mo 0.000 0.000 0.000
Au 0.500 0.500 0.000

=====

# 2
Compound: TeMoAu2
Source: Alexandria
Functional: SCAN
Structure: single point on PBEsol structure

Values from the calculation:
Symmetry   R3m (160)
Uncorrected formation energy   0.280 eV per atom
Crystal system   trigonal
Calculated density   13.52 Mg/m³
Spin magnetization   0.000 μB/atom

a = 9.000 Å, b = 9.000 Å, c = 9.000 Å
α = 20.17°, β = 20.17°, γ = 20.17°
Positions (direct):
Te 0.000 0.000 0.000
Mo 0.741 0.741 0.741
Au 0.234 0.234 0.234
Au 0.487 0.487 0.487

=====

# 3
Compound: TeMo2Au
Source: Alexandria
Functional: SCAN
Structure: single point on PBEsol structure

Values from the calculation:
Symmetry   Pmmm (47)
Uncorrected formation energy   0.612 eV per atom
Crystal system   orthorhombic
Calculated density   12.28 Mg/m³
Spin magnetization   0.000 μB/atom

a = 3.312 Å, b = 4.570 Å, c = 4.614 Å
α = 90.00°, β = 90.00°, γ = 90.00°
Positions (direct):
Te 0.000 0.000 0.000
Mo 0.000 0.500 0.500
Mo 0.500 0.000 0.500
Au 0.500 0.500 0.000

=====

# 4
Compound: TiMoAu3
Source: Alexandria
Functional: SCAN
Structure: single point on PBEsol structure

Values from the calculation:
Symmetry   Pm-3m (221)
Offset from the most stable computed form   0.0 meV per atom
ΔE_f   1.01 eV per atom
Crystal system   cubic
Calculated density   10.38 Mg/m³
Spin magnetization   0.428 μB/atom

a = 4.898 Å, b = 4.898 Å, c = 4.898 Å
α = 90.00°, β = 90.00°, γ = 90.00°
Positions (direct):
Ti 0.000 0.000 0.000
Mo 0.500 0.500 0.500
Au 0.000 0.500 0.500
Au 0.500 0.000 0.500
Au 0.500 0.500 0.000

=====

# 5
Compound: TlMoAu2
Source: Alexandria
Functional: SCAN
Structure: single point on PBEsol structure

Values from the calculation:
Symmetry   Pmmm (47)
Offset from the most stable computed form   0.0 meV per atom
ΔE_f   0.41 eV per atom
Crystal system   orthorhombic
Calculated density   16.02 Mg/m³
Spin magnetization   0.000 μB/atom

a = 2.899 Å, b = 4.124 Å, c = 6.019 Å
α = 90.00°, β = 90.00°, γ = 90.00°
Positions (direct):
Tl 0.000 0.000 0.000
Mo 0.000 0.000 0.500
Au 0.500 0.500 0.274
Au 0.500 0.500 0.726

=====

# 6
Compound: TlMoAu2
Source: Alexandria
Functional: SCAN
Structure: single point on PBEsol structure

Values from the calculation:
Symmetry   Fm-3m (225)
Offset from the most stable computed form   74.5 meV per atom
ΔE_f   0.49 eV per atom
Crystal system   cubic
Calculated density   15.85 Mg/m³
Spin magnetization   0.632 μB/atom

a = 4.685 Å, b = 4.685 Å, c = 4.685 Å
α = 60.00°, β = 60.00°, γ = 60.00°
Positions (direct):
Tl 0.000 0.000 0.000
Mo 0.500 0.500 0.500
Au 0.250 0.250 0.250
Au 0.750 0.750 0.750